# 1
# Cd3SiAu

A relaxed Cd3SiAu crystal (PBE, Alexandria via LeMat-Bulk).

Properties
- ΔE_f (raw): 0.558 eV/atom
- Density of states at the Fermi level: 2.53 states/eV/f.u.
- Energy above the most stable polymorph in this dataset: 0.75 eV/f.u.

```
data_Cd3SiAu
_chemical_formula_sum 'Cd3 Si1 Au1'
_symmetry_space_group_name_H-M 'P m -3 m'
_symmetry_Int_Tables_number 221
_symmetry_space_group_name_Hall '-P 4 2 3'
_cell_length_a 5.215
_cell_length_b 5.215
_cell_length_c 5.215
_cell_angle_alpha 90.00
_cell_angle_beta 90.00
_cell_angle_gamma 90.00
loop_
_atom_site_label
_atom_site_fract_x
_atom_site_fract_y
_atom_site_fract_z
Cd1 0.000 0.000 0.500
Si1 0.500 0.500 0.500
Au1 0.000 0.000 0.000
```

# 2
# Cd2Si2Au

A relaxed Cd2Si2Au crystal (PBE, Alexandria via LeMat-Bulk).

Properties
- ΔE_f (raw): 0.424 eV/atom
- Density of states at the Fermi level: 1.93 states/eV/f.u.
- Energy above the most stable polymorph in this dataset: 1.39 eV/f.u.

```
data_Cd2Si2Au
_chemical_formula_sum 'Cd4 Si4 Au2'
_symmetry_space_group_name_H-M 'P 4/m b m'
_symmetry_Int_Tables_number 127
_symmetry_space_group_name_Hall '-P 4 2ab'
_cell_length_a 7.496
_cell_length_b 7.496
_cell_length_c 3.832
_cell_angle_alpha 90.00
_cell_angle_beta 90.00
_cell_angle_gamma 90.00
loop_
_atom_site_label
_atom_site_fract_x
_atom_site_fract_y
_atom_site_fract_z
Cd1 0.180 0.320 0.000
Si1 0.112 0.612 0.500
Au1 0.000 0.000 0.000
```

# 3
# Cd2SiAu2

A relaxed Cd2SiAu2 crystal (PBE, Alexandria via LeMat-Bulk).

Properties
- ΔE_f (raw): 0.249 eV/atom
- Density of states at the Fermi level: 1.42 states/eV/f.u.
- Energy above the most stable polymorph in this dataset: 1.02 eV/f.u.

```
data_Cd2SiAu2
_chemical_formula_sum 'Cd4 Si2 Au4'
_symmetry_space_group_name_H-M 'I 4/m m m'
_symmetry_Int_Tables_number 139
_symmetry_space_group_name_Hall '-I 4 2'
_cell_length_a 3.910
_cell_length_b 3.910
_cell_length_c 13.776
_cell_angle_alpha 90.00
_cell_angle_beta 90.00
_cell_angle_gamma 90.00
loop_
_atom_site_label
_atom_site_fract_x
_atom_site_fract_y
_atom_site_fract_z
Cd1 0.000 0.500 0.250
Si1 0.000 0.000 0.000
Au1 0.000 0.000 0.404
```

# 4
# Cd2SiAu

A relaxed Cd2SiAu crystal (PBE, Alexandria via LeMat-Bulk).

Properties
- ΔE_f (raw): 0.125 eV/atom
- Density of states at the Fermi level: 1.35 states/eV/f.u.

```
data_Cd2SiAu
_chemical_formula_sum 'Cd4 Si2 Au2'
_symmetry_space_group_name_H-M 'I m m 2'
_symmetry_Int_Tables_number 44
_symmetry_space_group_name_Hall 'I 2 -2'
_cell_length_a 2.890
_cell_length_b 4.789
_cell_length_c 12.111
_cell_angle_alpha 90.00
_cell_angle_beta 90.00
_cell_angle_gamma 90.00
loop_
_atom_site_label
_atom_site_fract_x
_atom_site_fract_y
_atom_site_fract_z
Cd1 0.000 0.000 0.000
Cd2 0.000 0.500 0.178
Si1 0.000 0.500 0.760
Au1 0.000 0.000 0.440
```

# 5
# CdSiAu3

A relaxed CdSiAu3 crystal (PBE, Alexandria via LeMat-Bulk).

Properties
- ΔE_f (raw): -0.037 eV/atom
- Density of states at the Fermi level: 0.98 states/eV/f.u.
- Energy above the most stable polymorph in this dataset: 0.12 eV/f.u.

```
data_CdSiAu3
_chemical_formula_sum 'Cd4 Si4 Au12'
_symmetry_space_group_name_H-M 'P 1 21/c 1'
_symmetry_Int_Tables_number 14
_symmetry_space_group_name_Hall '-P 2ybc'
_cell_length_a 6.657
_cell_length_b 5.235
_cell_length_c 11.013
_cell_angle_alpha 90.00
_cell_angle_beta 91.23
_cell_angle_gamma 90.00
loop_
_atom_site_label
_atom_site_fract_x
_atom_site_fract_y
_atom_site_fract_z
Cd1 0.141 0.211 0.311
Si1 0.349 0.530 0.554
Au1 0.072 0.695 0.419
Au2 0.302 0.054 0.558
Au3 0.404 0.714 0.757
```

# 6
# CdSiAu3

A relaxed CdSiAu3 crystal (PBE, Alexandria via LeMat-Bulk).

Properties
- ΔE_f (raw): -0.062 eV/atom
- Density of states at the Fermi level: 1.26 states/eV/f.u.
- Energy above the most stable polymorph in this dataset: 0.00 eV/f.u.

```
data_CdSiAu3
_chemical_formula_sum 'Cd8 Si8 Au24'
_symmetry_space_group_name_H-M 'C 1 2/c 1'
_symmetry_Int_Tables_number 15
_symmetry_space_group_name_Hall '-C 2yc'
_cell_length_a 12.782
_cell_length_b 8.781
_cell_length_c 6.901
_cell_angle_alpha 90.00
_cell_angle_beta 105.03
_cell_angle_gamma 90.00
loop_
_atom_site_label
_atom_site_fract_x
_atom_site_fract_y
_atom_site_fract_z
Cd1 0.000 0.014 0.250
Cd2 0.000 0.351 0.750
Si1 0.096 0.332 0.298
Au1 0.156 0.162 0.600
Au2 0.156 0.168 0.051
Au3 0.183 0.494 0.596
```

# 7
# Cd2SiAu

A relaxed Cd2SiAu crystal (PBE, Alexandria via LeMat-Bulk).

Properties
- ΔE_f (raw): 0.169 eV/atom
- Density of states at the Fermi level: 1.81 states/eV/f.u.

```
data_Cd2SiAu
_chemical_formula_sum 'Cd2 Si1 Au1'
_symmetry_space_group_name_H-M 'P 1 2/m 1'
_symmetry_Int_Tables_number 10
_symmetry_space_group_name_Hall '-P 2y'
_cell_length_a 3.175
_cell_length_b 4.201
_cell_length_c 5.822
_cell_angle_alpha 90.00
_cell_angle_beta 90.36
_cell_angle_gamma 90.00
loop_
_atom_site_label
_atom_site_fract_x
_atom_site_fract_y
_atom_site_fract_z
Cd1 0.000 0.000 0.249
Si1 0.500 0.500 0.000
Au1 0.500 0.500 0.500
```

# 8
# CdSiAu5

A relaxed CdSiAu5 crystal (PBE, Alexandria via LeMat-Bulk).

Properties
- ΔE_f (raw): -0.053 eV/atom
- Density of states at the Fermi level: 3.25 states/eV/f.u.

```
data_CdSiAu5
_chemical_formula_sum 'Cd1 Si1 Au5'
_symmetry_space_group_name_H-M 'P 4/m m m'
_symmetry_Int_Tables_number 123
_symmetry_space_group_name_Hall '-P 4 2'
_cell_length_a 4.274
_cell_length_b 4.274
_cell_length_c 7.114
_cell_angle_alpha 90.00
_cell_angle_beta 90.00
_cell_angle_gamma 90.00
loop_
_atom_site_label
_atom_site_fract_x
_atom_site_fract_y
_atom_site_fract_z
Cd1 0.000 0.000 0.000
Si1 0.000 0.000 0.500
Au1 0.000 0.500 0.295
Au2 0.500 0.500 0.000
```